! GdPuZnRh (GGA-PBE, relaxed); values from VASP
&SYSTEM
  ibrav = 0, nat = 4, ntyp = 4
/
ATOMIC_SPECIES
Zn 65.41 Zn.upf
Rh 102.91 Rh.upf
Pu 244.00 Pu.upf
Gd 157.25 Gd.upf
CELL_PARAMETERS angstrom
4.964 0.000 0.000
2.482 4.299 0.000
2.482 1.433 4.053
ATOMIC_POSITIONS angstrom
Zn 0.000 0.000 0.000
Rh 4.964 2.866 2.026
Pu 2.482 1.433 1.013
Gd 7.446 4.299 3.040
! energy of formation from the pure elements	-0.36	eV per atom

***

! GdPuTcRu (GGA-PBE, relaxed); values from VASP
&SYSTEM
  ibrav = 0, nat = 4, ntyp = 4
/
ATOMIC_SPECIES
Ru 101.07 Ru.upf
Tc 98.00 Tc.upf
Pu 244.00 Pu.upf
Gd 157.25 Gd.upf
CELL_PARAMETERS angstrom
4.806 0.000 0.000
2.403 4.162 0.000
2.403 1.387 3.924
ATOMIC_POSITIONS angstrom
Ru 7.209 4.162 2.943
Tc 2.403 1.387 0.981
Pu 4.806 2.775 1.962
Gd 0.000 0.000 0.000
! energy of formation from the pure elements	-0.06	eV per atom

***

Repeat the first record exactly.
! GdPuZnRh (GGA-PBE, relaxed); values from VASP
&SYSTEM
  ibrav = 0, nat = 4, ntyp = 4
/
ATOMIC_SPECIES
Zn 65.41 Zn.upf
Rh 102.91 Rh.upf
Pu 244.00 Pu.upf
Gd 157.25 Gd.upf
CELL_PARAMETERS angstrom
4.964 0.000 0.000
2.482 4.299 0.000
2.482 1.433 4.053
ATOMIC_POSITIONS angstrom
Zn 0.000 0.000 0.000
Rh 4.964 2.866 2.026
Pu 2.482 1.433 1.013
Gd 7.446 4.299 3.040
! energy of formation from the pure elements	-0.36	eV per atom